Record 1
Compound: SiSCl2
Source: the Alexandria database
Functional: PBE
Structure: relaxed

Computed properties:
- D(E_F): 8.8 states/eV per cell
- Energy relative to the elements, uncorrected: 0.640 eV per atom
- ρ: 2.7 Mg/m³
- Raw total energy: -2.671 eV/atom

```
data_SiSCl2
_cell_length_a 6.857
_cell_length_b 6.857
_cell_length_c 6.857
_cell_angle_alpha 90.00
_cell_angle_beta 90.00
_cell_angle_gamma 90.00
_symmetry_space_group_name_H-M 'F m -3 m'
_symmetry_Int_Tables_number 225
_symmetry_space_group_name_Hall '-F 4 2 3'
loop_
_atom_site_label
_atom_site_fract_x
_atom_site_fract_y
_atom_site_fract_z
Si1 0.000 0.000 0.000
S1 0.000 0.000 0.500
Cl1 0.250 0.250 0.250
```

=====

Record 2
Compound: SiSCl2
Source: the Alexandria database
Functional: PBE
Structure: relaxed

Computed properties:
- D(E_F): 8.5 states/eV per cell
- Energy relative to the elements, uncorrected: 0.411 eV per atom
- ρ: 2.5 Mg/m³
- Raw total energy: -2.900 eV/atom

```
data_SiSCl2
_cell_length_a 3.4269
_cell_length_b 3.4269
_cell_length_c 25.7167
_cell_angle_alpha 90.00
_cell_angle_beta 90.00
_cell_angle_gamma 120.00
_symmetry_space_group_name_H-M 'R -3 m'
_symmetry_Int_Tables_number 166
_symmetry_space_group_name_Hall '-R 3 2"'
loop_
_atom_site_label
_atom_site_fract_x
_atom_site_fract_y
_atom_site_fract_z
Si1 0.0000 0.0000 0.0000
S1 0.0000 0.0000 0.5000
Cl1 0.0000 0.0000 0.4066
```

=====

Record 3
Compound: SiSCl3
Source: the Alexandria database
Functional: PBE
Structure: relaxed

Computed properties:
- D(E_F): 5.3 states/eV per cell
- Energy relative to the elements, uncorrected: 0.128 eV per atom
- ρ: 2.4 Mg/m³
- Raw total energy: -2.890 eV/atom

```
data_SiSCl3
_cell_length_a 4.863
_cell_length_b 4.863
_cell_length_c 4.863
_cell_angle_alpha 90.00
_cell_angle_beta 90.00
_cell_angle_gamma 90.00
_symmetry_space_group_name_H-M 'P m -3 m'
_symmetry_Int_Tables_number 221
_symmetry_space_group_name_Hall '-P 4 2 3'
loop_
_atom_site_label
_atom_site_fract_x
_atom_site_fract_y
_atom_site_fract_z
Si1 0.000 0.000 0.000
S1 0.500 0.500 0.500
Cl1 0.000 0.000 0.500
```